An optimized crystal structure of FeMo3O. Source: Alexandria via LeMat-Bulk, functional PBE with a Hubbard U.

abc: 4.988 4.988 4.988
angles: 90.00 90.00 90.00
Space group Pm-3m (No. 221)
Unique sites:
Fe 0.000 0.000 0.000 (multiplicity 1)
Mo 0.000 0.000 0.500 (multiplicity 3)
O 0.500 0.500 0.500 (multiplicity 1)

Computed properties:
magnetic moment = 1.873 μB/atom
offset from the most stable computed form = 676 meV per atom